i.
# MgHgSe2

A relaxed MgHgSe2 crystal (GGA-PBEsol, Alexandria).

Results
M_tot in μB per cell: 0.00
SG: I-42d, No. 122
Volume in A^3/atom: 27.5

Lattice parameters (Å, degrees): 7.422 7.422 7.422 132.17 132.17 69.96
Fractional coordinates of all 8 atoms:
Mg: 0.000 0.000 0.000
Mg: 0.750 0.250 0.500
Hg: 0.250 0.750 0.500
Hg: 0.500 0.500 0.000
Se: 0.112 0.625 0.987
Se: 0.375 0.362 0.487
Se: 0.638 0.125 0.013
Se: 0.875 0.888 0.513

=====

ii.
# MgHgSe2

A relaxed MgHgSe2 crystal (GGA-PBEsol, Alexandria).

Results
M_tot in μB per cell: 0.00
SG: P4/mmm, No. 123
Volume in A^3/atom: 21.9

Lattice parameters (Å, degrees): 3.944 3.944 5.626 90.00 90.00 90.00
Fractional coordinates of all 4 atoms:
Mg: 0.000 0.000 0.000
Hg: 0.500 0.500 0.500
Se: 0.000 0.000 0.500
Se: 0.500 0.500 0.000

=====

Out of the structures above, which one is the least stable? Solution: ii.